Tb5ZnCu2 | GGA-PBE | optimized geometry

Computed properties:
volume: 24.566 Å³/atom
SG: I4/mcm
E_form: -0.17 eV per atom

Cell and atoms, written as POSCAR:
```
Tb5ZnCu2
1.0
-6.698 -3.348 2.427
2.490 -6.954 -2.722
4.765 3.903 5.769
Cu Tb Zn
4 10 2
direct
0.626 0.126 0.000
0.874 0.626 0.000
0.126 0.374 0.000
0.374 0.874 0.000
0.303 0.803 0.289
0.697 0.197 0.711
0.513 0.697 0.711
0.803 0.987 0.289
0.013 0.513 0.711
0.500 0.500 0.000
0.197 0.013 0.711
0.487 0.303 0.289
0.987 0.487 0.289
0.000 0.000 0.000
0.250 0.250 0.500
0.750 0.750 0.500
```